# 1
Computed, not measured: a relaxed structure of Na2AgIrCl8 at the PBE level of DFT.

a b c (Å): 6.0506 8.1752 6.3265
angles (deg): 90.00 96.52 90.00
Closest atoms and distances in Å follow each position.
Fractional coordinates of all 12 atoms:
Na 0.0000 0.2481 0.0000  4 Cl 2.71-2.76
Na 0.0000 0.7519 0.0000  4 Cl 2.71-2.76
Ag 0.5000 0.5000 0.5000  2 Cl 2.39
Ir 0.5000 0.0000 0.5000  6 Cl 2.33-2.34
Cl 0.2441 0.5000 0.1825  1 Ag 2.39
Cl 0.2731 0.0000 0.1739  1 Ir 2.34
Cl 0.2844 0.2068 0.6260  1 Ir 2.33
Cl 0.2844 0.7932 0.6260  1 Ir 2.33
Cl 0.7156 0.2068 0.3740  1 Ir 2.33
Cl 0.7156 0.7932 0.3740  1 Ir 2.33
Cl 0.7269 0.0000 0.8261  1 Ir 2.34
Cl 0.7559 0.5000 0.8175  1 Ag 2.39

Properties
- energy relative to the elements, uncorrected (eV/atom) = -0.8418
- density of states at the Fermi level (states/eV per cell) = 9.4
- space-group type = No. 10

***

# 2
Computed, not measured: a relaxed structure of NiAgIrCl6 at the PBE level of DFT.

a b c (Å): 5.8790 5.8790 11.2109
angles (deg): 90.00 90.00 90.00
Closest atoms and distances in Å follow each position.
Fractional coordinates of all 18 atoms:
Ni 0.0000 0.0000 0.0000  6 Cl 2.41-2.51
Ni 0.5000 0.5000 0.5000  6 Cl 2.41-2.51
Ag 0.0000 0.0000 0.3297  6 Cl 2.60-2.67
Ag 0.5000 0.5000 0.8297  6 Cl 2.60-2.67
Ir 0.0000 0.0000 0.6672  6 Cl 2.37-2.40
Ir 0.5000 0.5000 0.1672  6 Cl 2.37-2.40
Cl 0.1794 0.1794 0.8314  1 Ir 2.37, 1 Ni 2.41
Cl 0.1993 0.1993 0.5129  1 Ir 2.40, 1 Ni 2.50, 1 Ag 2.64
Cl 0.2127 0.2127 0.1591  1 Ir 2.39, 1 Ni 2.51, 1 Ag 2.60
Cl 0.2873 0.7127 0.6591  1 Ir 2.39, 1 Ni 2.51, 1 Ag 2.60
Cl 0.3007 0.6993 0.0129  1 Ir 2.40, 1 Ni 2.50, 1 Ag 2.64
Cl 0.3206 0.6794 0.3314  1 Ir 2.37, 1 Ni 2.41
Cl 0.6794 0.3206 0.3314  1 Ir 2.37, 1 Ni 2.41
Cl 0.6993 0.3007 0.0129  1 Ir 2.40, 1 Ni 2.50, 1 Ag 2.64
Cl 0.7127 0.2873 0.6591  1 Ir 2.39, 1 Ni 2.51, 1 Ag 2.60
Cl 0.7873 0.7873 0.1591  1 Ir 2.39, 1 Ni 2.51, 1 Ag 2.60
Cl 0.8007 0.8007 0.5129  1 Ir 2.40, 1 Ni 2.50, 1 Ag 2.64
Cl 0.8206 0.8206 0.8314  1 Ir 2.37, 1 Ni 2.41

Properties
- energy relative to the elements, uncorrected (eV/atom) = -0.3966
- density of states at the Fermi level (states/eV per cell) = 15.1
- space-group type = No. 102

***

# 3
Computed, not measured: a relaxed structure of AgPIr2Cl at the PBE level of DFT.

a b c (Å): 4.4359 4.4359 4.6196
angles (deg): 90.00 90.00 90.00
Closest atoms and distances in Å follow each position.
Fractional coordinates of all 5 atoms:
Ag 0.0000 0.0000 0.0000  4 P 3.14, 8 Ir 3.20
P 0.5000 0.5000 0.0000  2 Cl 2.31
Ir 0.0000 0.5000 0.5000  2 Cl 2.22
Ir 0.5000 0.0000 0.5000  2 Cl 2.22
Cl 0.5000 0.5000 0.5000  4 Ir 2.22, 2 P 2.31

Properties
- energy relative to the elements, uncorrected (eV/atom) = 1.5679
- offset from the most stable computed form (meV per atom) = 0.0
- density of states at the Fermi level (states/eV per cell) = 5.9
- space-group type = No. 123

***

# 4
Computed, not measured: a relaxed structure of AgPIrCl2 at the PBE level of DFT.

a b c (Å): 5.1191 5.1191 4.4000
angles (deg): 90.00 90.00 90.00
Closest atoms and distances in Å follow each position.
Fractional coordinates of all 5 atoms:
Ag 0.0000 0.0000 0.0000  8 Cl 3.38, 4 P 3.62
P 0.5000 0.5000 0.0000  2 Ir 2.20
Ir 0.5000 0.5000 0.5000  2 P 2.20
Cl 0.0000 0.5000 0.5000  2 Ir 2.56
Cl 0.5000 0.0000 0.5000  2 Ir 2.56

Properties
- energy relative to the elements, uncorrected (eV/atom) = 0.2822
- offset from the most stable computed form (meV per atom) = 0.0
- density of states at the Fermi level (states/eV per cell) = 1.1
- space-group type = No. 123

***

# 5
Computed, not measured: a relaxed structure of AgPIr2Cl at the PBE level of DFT.

a b c (Å): 5.1154 5.1154 4.4405
angles (deg): 90.00 90.00 90.00
Closest atoms and distances in Å follow each position.
Fractional coordinates of all 5 atoms:
Ag 0.0000 0.0000 0.0000  2 P 2.22
P 0.0000 0.0000 0.5000  2 Ag 2.22
Ir 0.0000 0.5000 0.0000  2 Ag 2.56
Ir 0.5000 0.0000 0.0000  2 Ag 2.56
Cl 0.5000 0.5000 0.5000  8 Ir 3.39, 4 P 3.62

Properties
- energy relative to the elements, uncorrected (eV/atom) = 2.0667
- offset from the most stable computed form (meV per atom) = 498.9
- density of states at the Fermi level (states/eV per cell) = 6.4
- space-group type = No. 123

***

# 6
Computed, not measured: a relaxed structure of AgPIrCl2 at the PBE level of DFT.

a b c (Å): 4.6611 4.6611 5.4013
angles (deg): 90.00 90.00 90.00
Closest atoms and distances in Å follow each position.
Fractional coordinates of all 5 atoms:
Ag 0.0000 0.0000 0.0000  4 Cl 2.33
P 0.0000 0.0000 0.5000  2 Ag 2.70
Ir 0.5000 0.5000 0.5000  4 P 3.30, 8 Cl 3.57
Cl 0.0000 0.5000 0.0000  2 Ag 2.33
Cl 0.5000 0.0000 0.0000  2 Ag 2.33

Properties
- energy relative to the elements, uncorrected (eV/atom) = 1.3496
- offset from the most stable computed form (meV per atom) = 1067.4
- density of states at the Fermi level (states/eV per cell) = 9.7
- space-group type = No. 123

***

# 7
Computed, not measured: a relaxed structure of Ag2IrPbCl8 at the PBE level of DFT.

a b c (Å): 6.4001 8.0436 6.9307
angles (deg): 90.00 111.81 90.00
Closest atoms and distances in Å follow each position.
Fractional coordinates of all 12 atoms:
Ag 0.0000 0.2461 0.0000  4 Cl 2.64-2.72
Ag 0.0000 0.7539 0.0000  4 Cl 2.64-2.72
Ir 0.0000 0.5000 0.5000  6 Cl 2.34-2.36
Pb 0.0000 0.0000 0.5000  6 Cl 2.88-2.92
Cl 0.1873 0.5000 0.2678  1 Ir 2.34
Cl 0.2440 0.0000 0.2252  2 Ag 2.64, 1 Pb 2.88
Cl 0.2464 0.2959 0.7084  1 Ir 2.36
Cl 0.2464 0.7041 0.7084  1 Ir 2.36
Cl 0.7536 0.2959 0.2916  1 Ir 2.36
Cl 0.7536 0.7041 0.2916  1 Ir 2.36
Cl 0.7560 0.0000 0.7748  2 Ag 2.64, 1 Pb 2.88
Cl 0.8127 0.5000 0.7322  1 Ir 2.34

Properties
- energy relative to the elements, uncorrected (eV/atom) = -0.6153
- density of states at the Fermi level (states/eV per cell) = 10.5
- space-group type = No. 10

***

# 8
Computed, not measured: a relaxed structure of AgIrPbCl6 at the PBE level of DFT.

a b c (Å): 6.8814 6.8814 11.3954
angles (deg): 90.00 90.00 120.00
Closest atoms and distances in Å follow each position.
Fractional coordinates of all 18 atoms:
Ag 0.0000 0.0000 0.0000  6 Cl 2.86
Ag 0.0000 0.0000 0.5000  6 Cl 2.86
Ir 0.3333 0.6667 0.2500  6 Cl 2.38
Ir 0.6667 0.3333 0.7500  6 Cl 2.38
Pb 0.3333 0.6667 0.7500  6 Cl 2.90
Pb 0.6667 0.3333 0.2500  6 Cl 2.90
Cl 0.0576 0.3833 0.1267  1 Ir 2.38
Cl 0.0576 0.6743 0.3733  1 Ir 2.38
Cl 0.3257 0.3833 0.3733  1 Ir 2.38
Cl 0.3257 0.9424 0.1267  1 Ir 2.38
Cl 0.3833 0.0576 0.6267  1 Ir 2.38
Cl 0.3833 0.3257 0.8733  1 Ir 2.38
Cl 0.6167 0.6743 0.1267  1 Ir 2.38
Cl 0.6167 0.9424 0.3733  1 Ir 2.38
Cl 0.6743 0.0576 0.8733  1 Ir 2.38
Cl 0.6743 0.6167 0.6267  1 Ir 2.38
Cl 0.9424 0.3257 0.6267  1 Ir 2.38
Cl 0.9424 0.6167 0.8733  1 Ir 2.38

Properties
- energy relative to the elements, uncorrected (eV/atom) = -0.6438
- space-group type = No. 163

***

# 9
Computed, not measured: a relaxed structure of RbAg2IrCl8 at the PBE level of DFT.

a b c (Å): 6.2735 6.7508 8.7027
angles (deg): 72.98 83.74 87.71
Closest atoms and distances in Å follow each position.
Fractional coordinates of all 12 atoms:
Rb 0.0000 0.0000 0.0000  8 Cl 3.50-3.65
Ag 0.4308 0.4942 0.2075  4 Cl 2.54-2.62
Ag 0.5692 0.5058 0.7925  4 Cl 2.54-2.62
Ir 0.0000 0.5000 0.5000  6 Cl 2.33-2.36
Cl 0.1169 0.5034 0.7476  1 Ir 2.36
Cl 0.2500 0.7526 0.3563  1 Ir 2.34, 1 Ag 2.62
Cl 0.2578 0.2504 0.4745  1 Ir 2.33, 1 Ag 2.58
Cl 0.4948 0.2224 0.0581  2 Ag 2.54
Cl 0.5052 0.7776 0.9419  2 Ag 2.54
Cl 0.7422 0.7496 0.5255  1 Ir 2.33, 1 Ag 2.58
Cl 0.7500 0.2474 0.6437  1 Ir 2.34, 1 Ag 2.62
Cl 0.8831 0.4966 0.2524  1 Ir 2.36

Properties
- energy relative to the elements, uncorrected (eV/atom) = -0.6830
- density of states at the Fermi level (states/eV per cell) = 10.9
- space-group type = No. 2

***

# 10
Computed, not measured: a relaxed structure of RbAg2IrCl6 at the PBE level of DFT.

a b c (Å): 8.3196 8.3196 8.3196
angles (deg): 48.48 48.48 48.48
Closest atoms and distances in Å follow each position.
Fractional coordinates of all 10 atoms:
Rb 0.0000 0.0000 0.0000  6 Cl 3.36
Ag 0.1822 0.1822 0.1822  6 Cl 2.69-2.95
Ag 0.8178 0.8178 0.8178  6 Cl 2.69-2.95
Ir 0.5000 0.5000 0.5000  6 Cl 2.36
Cl 0.1576 0.4317 0.7272  1 Ir 2.36
Cl 0.2728 0.8424 0.5683  1 Ir 2.36
Cl 0.4317 0.7272 0.1576  1 Ir 2.36
Cl 0.5683 0.2728 0.8424  1 Ir 2.36
Cl 0.7272 0.1576 0.4317  1 Ir 2.36
Cl 0.8424 0.5683 0.2728  1 Ir 2.36

Properties
- energy relative to the elements, uncorrected (eV/atom) = -0.7714
- density of states at the Fermi level (states/eV per cell) = 0.0
- space-group type = No. 148

***

# 11
Computed, not measured: a relaxed structure of AgIrRu2Cl at the PBE level of DFT.

a b c (Å): 4.7184 4.7184 5.2310
angles (deg): 90.00 90.00 90.00
Closest atoms and distances in Å follow each position.
Fractional coordinates of all 5 atoms:
Ag 0.0000 0.0000 0.0000  2 Ir 2.62
Ir 0.0000 0.0000 0.5000  4 Ru 2.36, 2 Ag 2.62
Ru 0.0000 0.5000 0.5000  2 Ir 2.36
Ru 0.5000 0.0000 0.5000  2 Ir 2.36
Cl 0.5000 0.5000 0.0000  4 Ag 3.34, 8 Ru 3.52

Properties
- energy relative to the elements, uncorrected (eV/atom) = 1.4471
- density of states at the Fermi level (states/eV per cell) = 6.7
- space-group type = No. 123

***

# 12
Computed, not measured: a relaxed structure of AgIrSCl2 at the PBE level of DFT.

a b c (Å): 4.7532 4.7532 5.2045
angles (deg): 90.00 90.00 90.00
Closest atoms and distances in Å follow each position.
Fractional coordinates of all 5 atoms:
Ag 0.0000 0.0000 0.0000  4 Cl 2.38, 2 S 2.60
Ir 0.5000 0.5000 0.5000  4 S 3.36, 8 Cl 3.52
S 0.0000 0.0000 0.5000  2 Ag 2.60
Cl 0.0000 0.5000 0.0000  2 Ag 2.38
Cl 0.5000 0.0000 0.0000  2 Ag 2.38

Properties
- energy relative to the elements, uncorrected (eV/atom) = 1.1916
- offset from the most stable computed form (meV per atom) = 1013.5
- density of states at the Fermi level (states/eV per cell) = 8.3
- space-group type = No. 123